Record 1
Compound: Nd4Tm5Th2
Source: the Alexandria database
Functional: PBE-GGA
Structure: relaxed

Calculated values
Its total magnetization is 0.000 μB/f.u. Its energy relative to the lowest polymorph listed for this composition is 0.0 kJ/mol of atoms. The total energy comes out at -5.09 eV/atom. The crystal system is triclinic.

a b c (Å): 3.5797 9.4462 10.7225
angles (deg): 86.15 89.96 79.16
Positions (direct):
Nd (0.0881, 0.3232, 0.4559)
Nd (0.3615, 0.7780, 0.8243)
Nd (0.6385, 0.2220, 0.1757)
Nd (0.9119, 0.6768, 0.5441)
Tm (0.0000, 0.5000, 0.0000)
Tm (0.2734, 0.9518, 0.3633)
Tm (0.4524, 0.5942, 0.2672)
Tm (0.5476, 0.4058, 0.7328)
Tm (0.7266, 0.0482, 0.6367)
Th (0.1830, 0.1343, 0.9044)
Th (0.8170, 0.8657, 0.0956)

Record 2
Compound: Nd4Tm2Th
Source: the Alexandria database
Functional: PBE-GGA
Structure: relaxed

Calculated values
Its total magnetization is 0.000 μB/f.u. Its energy relative to the lowest polymorph listed for this composition is 0.0 kJ/mol of atoms. The total energy comes out at -4.87 eV/atom. The crystal system is orthorhombic.

a b c (Å): 3.6163 8.1231 8.1987
angles (deg): 90.00 90.00 90.00
Positions (direct):
Nd (0.0000, 0.2234, 0.2228)
Nd (0.0000, 0.2234, 0.7772)
Nd (0.0000, 0.7766, 0.2228)
Nd (0.0000, 0.7766, 0.7772)
Tm (0.5000, 0.0000, 0.5000)
Tm (0.5000, 0.5000, 0.0000)
Th (0.5000, 0.5000, 0.5000)

Record 3
Compound: NdTm3Th2
Source: the Alexandria database
Functional: PBE-GGA
Structure: relaxed

Calculated values
Its total magnetization is 0.000 μB/f.u. Its energy relative to the lowest polymorph listed for this composition is 12.7 kJ/mol of atoms. The total energy comes out at -5.35 eV/atom. The crystal system is monoclinic.

a b c (Å): 11.8209 11.8209 10.1434
angles (deg): 108.04 108.04 16.75
Positions (direct):
Nd (0.1859, 0.1859, 0.0365)
Nd (0.8141, 0.8141, 0.9635)
Tm (0.0583, 0.0583, 0.4441)
Tm (0.1933, 0.1933, 0.7094)
Tm (0.4336, 0.4336, 0.2319)
Tm (0.5664, 0.5664, 0.7681)
Tm (0.8067, 0.8067, 0.2906)
Tm (0.9417, 0.9417, 0.5559)
Th (0.1908, 0.1908, 0.3771)
Th (0.4300, 0.4300, 0.8608)
Th (0.5700, 0.5700, 0.1392)
Th (0.8092, 0.8092, 0.6229)

Record 4
Compound: Nd2Tm12Th5
Source: the Alexandria database
Functional: PBE-GGA
Structure: relaxed

Calculated values
Its total magnetization is 0.000 μB/f.u. Its energy relative to the lowest polymorph listed for this composition is 0.0 kJ/mol of atoms. The total energy comes out at -5.11 eV/atom. The crystal system is monoclinic.

a b c (Å): 8.5776 8.5776 9.3562
angles (deg): 109.95 109.95 84.06
Positions (direct):
Nd (0.2198, 0.7802, 0.0000)
Nd (0.7802, 0.2198, 0.0000)
Tm (0.0402, 0.5540, 0.1955)
Tm (0.0717, 0.0717, 0.7899)
Tm (0.1390, 0.6582, 0.5935)
Tm (0.3418, 0.8610, 0.4065)
Tm (0.3889, 0.3889, 0.0725)
Tm (0.4460, 0.9598, 0.8045)
Tm (0.5540, 0.0402, 0.1955)
Tm (0.6111, 0.6111, 0.9275)
Tm (0.6582, 0.1390, 0.5935)
Tm (0.8610, 0.3418, 0.4065)
Tm (0.9283, 0.9283, 0.2101)
Tm (0.9598, 0.4460, 0.8045)
Th (0.2028, 0.2028, 0.2493)
Th (0.2754, 0.2754, 0.6396)
Th (0.5000, 0.5000, 0.5000)
Th (0.7246, 0.7246, 0.3604)
Th (0.7972, 0.7972, 0.7507)

Record 5
Compound: NdTm3Th2
Source: the Alexandria database
Functional: PBE-GGA
Structure: relaxed

Calculated values
Its total magnetization is 0.000 μB/f.u. Its energy relative to the lowest polymorph listed for this composition is 0.0 kJ/mol of atoms. The total energy comes out at -5.48 eV/atom. The crystal system is orthorhombic.

a b c (Å): 9.3986 9.3986 11.5241
angles (deg): 90.00 90.00 157.99
Positions (direct):
Nd (0.2204, 0.7796, 0.7500)
Nd (0.7796, 0.2204, 0.2500)
Tm (0.1070, 0.8930, 0.2500)
Tm (0.3356, 0.6644, 0.5056)
Tm (0.3356, 0.6644, 0.9944)
Tm (0.6644, 0.3356, 0.0056)
Tm (0.6644, 0.3356, 0.4944)
Tm (0.8930, 0.1070, 0.7500)
Th (0.0000, 0.0000, 0.0000)
Th (0.0000, 0.0000, 0.5000)
Th (0.4449, 0.5551, 0.2500)
Th (0.5551, 0.4449, 0.7500)

Record 6
Compound: Nd4Tm2Th3
Source: the Alexandria database
Functional: PBE-GGA
Structure: relaxed

Calculated values
Its total magnetization is 0.000 μB/f.u. Its energy relative to the lowest polymorph listed for this composition is 0.0 kJ/mol of atoms. The total energy comes out at -5.53 eV/atom. The crystal system is monoclinic.

a b c (Å): 8.0505 8.0505 10.8016
angles (deg): 103.61 103.61 25.97
Positions (direct):
Nd (0.0050, 0.0050, 0.3375)
Nd (0.3371, 0.3371, 0.1151)
Nd (0.6629, 0.6629, 0.8849)
Nd (0.9950, 0.9950, 0.6625)
Tm (0.3358, 0.3358, 0.7792)
Tm (0.6642, 0.6642, 0.2208)
Th (0.0000, 0.0000, 0.0000)
Th (0.3264, 0.3264, 0.4409)
Th (0.6736, 0.6736, 0.5591)

Record 7
Compound: NdTmTh
Source: the Alexandria database
Functional: PBE-GGA
Structure: relaxed

Calculated values
Its total magnetization is 0.000 μB/f.u. Its energy relative to the lowest polymorph listed for this composition is 0.0 kJ/mol of atoms. The total energy comes out at -5.52 eV/atom. The crystal system is trigonal.

a b c (Å): 3.5857 3.5857 8.7696
angles (deg): 90.00 90.00 120.00
Positions (direct):
Nd (0.0000, 0.0000, 0.0000)
Tm (0.6667, 0.3333, 0.3472)
Th (0.3333, 0.6667, 0.6657)

Record 8
Compound: NdTm2Th2
Source: the Alexandria database
Functional: PBE-GGA
Structure: relaxed

Calculated values
Its total magnetization is 0.000 μB/f.u. Its energy relative to the lowest polymorph listed for this composition is 1.5 kJ/mol of atoms. The total energy comes out at -5.68 eV/atom. The crystal system is trigonal.

a b c (Å): 3.5583 3.5583 14.5806
angles (deg): 90.00 90.00 120.00
Positions (direct):
Nd (0.0000, 0.0000, 0.0000)
Tm (0.3333, 0.6667, 0.7998)
Tm (0.6667, 0.3333, 0.2002)
Th (0.3333, 0.6667, 0.4004)
Th (0.6667, 0.3333, 0.5996)

Record 9
Compound: NdTmTh
Source: the Alexandria database
Functional: PBE-GGA
Structure: relaxed

Calculated values
Its total magnetization is 0.000 μB/f.u. Its energy relative to the lowest polymorph listed for this composition is 0.2 kJ/mol of atoms. The total energy comes out at -5.52 eV/atom. The crystal system is tetragonal.

a b c (Å): 7.9687 7.9687 7.9687
angles (deg): 153.89 153.89 37.26
Positions (direct):
Nd (0.0000, 0.0000, 0.0000)
Tm (0.6797, 0.6797, 0.0000)
Th (0.3356, 0.3356, 0.0000)

Record 10
Compound: Nd2Tm3Th
Source: the Alexandria database
Functional: PBE-GGA
Structure: relaxed

Calculated values
Its total magnetization is 0.000 μB/f.u. Its energy relative to the lowest polymorph listed for this composition is 0.0 kJ/mol of atoms. The total energy comes out at -5.02 eV/atom. The crystal system is monoclinic.

a b c (Å): 6.1909 6.1909 14.2916
angles (deg): 106.84 106.84 48.06
Positions (direct):
Nd (0.0013, 0.0013, 0.3735)
Nd (0.0024, 0.0024, 0.1281)
Nd (0.9976, 0.9976, 0.8719)
Nd (0.9987, 0.9987, 0.6265)
Tm (0.3292, 0.3292, 0.4567)
Tm (0.3316, 0.3316, 0.2090)
Tm (0.3328, 0.3328, 0.9568)
Tm (0.6672, 0.6672, 0.0432)
Tm (0.6684, 0.6684, 0.7910)
Tm (0.6708, 0.6708, 0.5433)
Th (0.3309, 0.3309, 0.7090)
Th (0.6691, 0.6691, 0.2910)

Record 11
Compound: Nd10Tm6Th
Source: the Alexandria database
Functional: PBE-GGA
Structure: relaxed

Calculated values
Its total magnetization is 0.000 μB/f.u. The total energy comes out at -4.67 eV/atom. The crystal system is trigonal.

a b c (Å): 9.7882 9.7882 6.9458
angles (deg): 90.00 90.00 120.00
Positions (direct):
Nd (0.0000, 0.2800, 0.3268)
Nd (0.0000, 0.7200, 0.6732)
Nd (0.2800, 0.0000, 0.3268)
Nd (0.2800, 0.2800, 0.6732)
Nd (0.3333, 0.6667, 0.0000)
Nd (0.3333, 0.6667, 0.5000)
Nd (0.6667, 0.3333, 0.0000)
Nd (0.6667, 0.3333, 0.5000)
Nd (0.7200, 0.0000, 0.6732)
Nd (0.7200, 0.7200, 0.3268)
Tm (0.0000, 0.3601, 0.8260)
Tm (0.0000, 0.6399, 0.1740)
Tm (0.3601, 0.0000, 0.8260)
Tm (0.3601, 0.3601, 0.1740)
Tm (0.6399, 0.0000, 0.1740)
Tm (0.6399, 0.6399, 0.8260)
Th (0.0000, 0.0000, 0.0000)

Record 12
Compound: Nd4Tm5Th2
Source: the Alexandria database
Functional: PBE-GGA
Structure: relaxed

Calculated values
Its total magnetization is 0.000 μB/f.u. Its energy relative to the lowest polymorph listed for this composition is 18.0 kJ/mol of atoms. The total energy comes out at -4.90 eV/atom. The crystal system is orthorhombic.

a b c (Å): 10.6769 10.6769 10.6769
angles (deg): 160.84 112.34 71.05
Positions (direct):
Nd (0.1025, 0.1025, 0.0000)
Nd (0.2258, 0.5000, 0.7258)
Nd (0.7742, 0.5000, 0.2742)
Nd (0.8975, 0.8975, 0.0000)
Tm (0.0938, 0.8312, 0.2626)
Tm (0.4314, 0.1688, 0.2626)
Tm (0.5000, 0.0000, 0.5000)
Tm (0.5686, 0.8312, 0.7374)
Tm (0.9062, 0.1688, 0.7374)
Th (0.3120, 0.3120, 0.0000)
Th (0.6880, 0.6880, 0.0000)

Record 13
Compound: NdTm3Th
Source: the Alexandria database
Functional: PBE-GGA
Structure: relaxed

Calculated values
Its total magnetization is 0.000 μB/f.u. Its energy relative to the lowest polymorph listed for this composition is 0.0 kJ/mol of atoms. The total energy comes out at -5.01 eV/atom. The crystal system is monoclinic.

a b c (Å): 6.4852 6.4852 8.8481
angles (deg): 105.12 105.12 64.74
Positions (direct):
Nd (0.1475, 0.1475, 0.1051)
Nd (0.8525, 0.8525, 0.8949)
Tm (0.2007, 0.6951, 0.2930)
Tm (0.2479, 0.2479, 0.5066)
Tm (0.3049, 0.7993, 0.7070)
Tm (0.6951, 0.2007, 0.2930)
Tm (0.7521, 0.7521, 0.4934)
Tm (0.7993, 0.3049, 0.7070)
Th (0.3514, 0.3514, 0.9083)
Th (0.6486, 0.6486, 0.0917)

Record 14
Compound: Nd3Tm4Th
Source: the Alexandria database
Functional: PBE-GGA
Structure: relaxed

Calculated values
Its total magnetization is 0.000 μB/f.u. Its energy relative to the lowest polymorph listed for this composition is 0.0 kJ/mol of atoms. The total energy comes out at -4.93 eV/atom. The crystal system is monoclinic.

a b c (Å): 6.2073 3.5831 11.7019
angles (deg): 90.00 100.23 90.00
Positions (direct):
Nd (0.0000, 0.0000, 0.0000)
Nd (0.0000, 0.5000, 0.5000)
Nd (0.5000, 0.0000, 0.5000)
Tm (0.2543, 0.5000, 0.2485)
Tm (0.2562, 0.0000, 0.7546)
Tm (0.7438, 0.0000, 0.2454)
Tm (0.7457, 0.5000, 0.7515)
Th (0.5000, 0.5000, 0.0000)

Record 15
Compound: Nd2Tm3Th2
Source: the Alexandria database
Functional: PBE-GGA
Structure: relaxed

Calculated values
Its total magnetization is 0.000 μB/f.u. Its energy relative to the lowest polymorph listed for this composition is 0.0 kJ/mol of atoms. The total energy comes out at -5.37 eV/atom. The crystal system is triclinic.

a b c (Å): 3.5908 7.9515 8.6799
angles (deg): 110.27 90.01 103.00
Positions (direct):
Nd (0.2155, 0.4324, 0.1435)
Nd (0.7845, 0.5676, 0.8565)
Tm (0.3623, 0.7226, 0.5646)
Tm (0.5000, 0.0000, 0.0000)
Tm (0.6377, 0.2774, 0.4354)
Th (0.0675, 0.1340, 0.7105)
Th (0.9325, 0.8660, 0.2895)

Record 16
Compound: Nd5Tm2Th
Source: the Alexandria database
Functional: PBE-GGA
Structure: relaxed

Calculated values
Its total magnetization is 0.000 μB/f.u. Its energy relative to the lowest polymorph listed for this composition is 24.8 kJ/mol of atoms. The total energy comes out at -4.74 eV/atom. The crystal system is monoclinic.

a b c (Å): 11.5565 11.5565 6.3053
angles (deg): 100.00 100.00 132.97
Positions (direct):
Nd (0.0815, 0.3445, 0.8726)
Nd (0.1368, 0.8632, 0.7500)
Nd (0.3075, 0.4488, 0.4343)
Nd (0.3445, 0.0815, 0.3726)
Nd (0.4488, 0.3075, 0.9343)
Nd (0.5512, 0.6925, 0.0657)
Nd (0.6555, 0.9185, 0.6274)
Nd (0.6925, 0.5512, 0.5657)
Nd (0.8632, 0.1368, 0.2500)
Nd (0.9185, 0.6555, 0.1274)
Tm (0.0000, 0.0000, 0.0000)
Tm (0.0000, 0.0000, 0.5000)
Tm (0.0000, 0.5000, 0.5000)
Tm (0.5000, 0.0000, 0.0000)
Th (0.2712, 0.7288, 0.2500)
Th (0.7288, 0.2712, 0.7500)

Record 17
Compound: Nd4Tm5Th
Source: the Alexandria database
Functional: PBE-GGA
Structure: relaxed

Calculated values
Its total magnetization is 0.000 μB/f.u. The total energy comes out at -4.87 eV/atom. The crystal system is tetragonal.

a b c (Å): 3.5911 3.5911 25.0416
angles (deg): 90.00 90.00 90.00
Positions (direct):
Nd (0.0000, 0.0000, 0.1003)
Nd (0.0000, 0.0000, 0.3016)
Nd (0.0000, 0.0000, 0.6984)
Nd (0.0000, 0.0000, 0.8997)
Tm (0.5000, 0.5000, 0.0000)
Tm (0.5000, 0.5000, 0.2009)
Tm (0.5000, 0.5000, 0.4041)
Tm (0.5000, 0.5000, 0.5959)
Tm (0.5000, 0.5000, 0.7991)
Th (0.0000, 0.0000, 0.5000)

Record 18
Compound: Nd5Tm4Th
Source: the Alexandria database
Functional: PBE-GGA
Structure: relaxed

Calculated values
Its total magnetization is 0.000 μB/f.u. Its energy relative to the lowest polymorph listed for this composition is 9.9 kJ/mol of atoms. The total energy comes out at -4.77 eV/atom. The crystal system is monoclinic.

a b c (Å): 9.2781 9.2781 10.5655
angles (deg): 96.69 96.69 22.19
Positions (direct):
Nd (0.0000, 0.0000, 0.0000)
Nd (0.3102, 0.3102, 0.9019)
Nd (0.3611, 0.3611, 0.2808)
Nd (0.6389, 0.6389, 0.7192)
Nd (0.6898, 0.6898, 0.0981)
Tm (0.1807, 0.1807, 0.4164)
Tm (0.4527, 0.4527, 0.7373)
Tm (0.5473, 0.5473, 0.2627)
Tm (0.8193, 0.8193, 0.5836)
Th (0.0000, 0.0000, 0.5000)

Record 19
Compound: Nd12Tm5Th
Source: the Alexandria database
Functional: PBE-GGA
Structure: relaxed

Calculated values
Its total magnetization is 0.000 μB/f.u. The total energy comes out at -4.80 eV/atom. The crystal system is orthorhombic.

a b c (Å): 10.8700 10.8700 5.1329
angles (deg): 90.00 90.00 90.08
Positions (direct):
Nd (0.0028, 0.3296, 0.5000)
Nd (0.1626, 0.8374, 0.0000)
Nd (0.1697, 0.4984, 0.0000)
Nd (0.3296, 0.0028, 0.5000)
Nd (0.3367, 0.6633, 0.5000)
Nd (0.4984, 0.1697, 0.0000)
Nd (0.5016, 0.8303, 0.0000)
Nd (0.6633, 0.3367, 0.5000)
Nd (0.6704, 0.9972, 0.5000)
Nd (0.8303, 0.5016, 0.0000)
Nd (0.8374, 0.1626, 0.0000)
Nd (0.9972, 0.6704, 0.5000)
Tm (0.0000, 0.0000, 0.5000)
Tm (0.1675, 0.1675, 0.0000)
Tm (0.3362, 0.3362, 0.5000)
Tm (0.6638, 0.6638, 0.5000)
Tm (0.8325, 0.8325, 0.0000)
Th (0.5000, 0.5000, 0.0000)

Record 20
Compound: Nd6Tm4Th
Source: the Alexandria database
Functional: PBE-GGA
Structure: relaxed

Calculated values
Its total magnetization is 0.001 μB/f.u. The total energy comes out at -4.76 eV/atom. The crystal system is orthorhombic.

a b c (Å): 5.6668 5.6668 25.9025
angles (deg): 90.00 90.00 117.88
Positions (direct):
Nd (0.0000, 0.0000, 0.0000)
Nd (0.0000, 0.0000, 0.5000)
Nd (0.0485, 0.9515, 0.7500)
Nd (0.3034, 0.6966, 0.0988)
Nd (0.3034, 0.6966, 0.4012)
Nd (0.3752, 0.6248, 0.6808)
Nd (0.3752, 0.6248, 0.8192)
Nd (0.6248, 0.3752, 0.1808)
Nd (0.6248, 0.3752, 0.3192)
Nd (0.6966, 0.3034, 0.5988)
Nd (0.6966, 0.3034, 0.9012)
Nd (0.9515, 0.0485, 0.2500)
Tm (0.0398, 0.9602, 0.6243)
Tm (0.0398, 0.9602, 0.8757)
Tm (0.3466, 0.6534, 0.5431)
Tm (0.3466, 0.6534, 0.9569)
Tm (0.6534, 0.3466, 0.0431)
Tm (0.6534, 0.3466, 0.4569)
Tm (0.9602, 0.0398, 0.1243)
Tm (0.9602, 0.0398, 0.3757)
Th (0.2924, 0.7076, 0.2500)
Th (0.7076, 0.2924, 0.7500)